No. 1
# Tb15Y4Mg | Alexandria | PBE-GGA | optimized geometry
data_Tb15Y4Mg
_cell_length_a 5.014
_cell_length_b 5.014
_cell_length_c 25.152
_cell_angle_alpha 90.00
_cell_angle_beta 90.00
_cell_angle_gamma 90.00
_space_group_name_H-M_alt 'P 4/m m m'
_space_group_IT_number 123
_space_group_name_Hall '-P 4 2'
loop_
_atom_site_label
_atom_site_type_symbol
_atom_site_fract_x
_atom_site_fract_y
_atom_site_fract_z
Tb1 Tb 0.000 0.000 0.000
Tb2 Tb 0.000 0.000 0.196
Tb3 Tb 0.000 0.000 0.399
Tb4 Tb 0.000 0.500 0.098
Tb5 Tb 0.000 0.500 0.299
Tb6 Tb 0.000 0.500 0.500
Y1 Y 0.500 0.500 0.198
Y2 Y 0.500 0.500 0.399
Mg1 Mg 0.500 0.500 0.000
# VASP energy   -4.827 eV per atom
# ρ   7.3 g/cm³
# Total magnetic moment   0.0 μB/f.u.
# Formation energy   0.0184 eV per atom

---

No. 2
# TiFeCo5 | Alexandria | PBE-GGA | optimized geometry
data_TiFeCo5
_cell_length_a 4.027
_cell_length_b 4.027
_cell_length_c 5.341
_cell_angle_alpha 90.00
_cell_angle_beta 90.00
_cell_angle_gamma 90.00
_space_group_name_H-M_alt 'P 4/m m m'
_space_group_IT_number 123
_space_group_name_Hall '-P 4 2'
loop_
_atom_site_label
_atom_site_type_symbol
_atom_site_fract_x
_atom_site_fract_y
_atom_site_fract_z
Ti1 Ti 0.000 0.000 0.000
Fe1 Fe 0.500 0.500 0.500
Co1 Co 0.000 0.500 0.267
Co2 Co 0.500 0.500 0.000
# VASP energy   -7.305 eV per atom
# ρ   7.6 g/cm³
# Total magnetic moment   8.0 μB/f.u.
# Formation energy   0.1073 eV per atom

---

No. 3
# RbTlPbI4 | Alexandria | PBE-GGA | optimized geometry
data_RbTlPbI4
_cell_length_a 6.344
_cell_length_b 6.344
_cell_length_c 18.069
_cell_angle_alpha 90.00
_cell_angle_beta 90.00
_cell_angle_gamma 90.00
_space_group_name_H-M_alt 'I 4 m m'
_space_group_IT_number 107
_space_group_name_Hall 'I 4 -2'
loop_
_atom_site_label
_atom_site_type_symbol
_atom_site_fract_x
_atom_site_fract_y
_atom_site_fract_z
Rb1 Rb 0.000 0.000 0.000
Tl1 Tl 0.000 0.000 0.730
Pb1 Pb 0.000 0.000 0.368
I1 I 0.000 0.000 0.197
I2 I 0.000 0.000 0.552
I3 I 0.000 0.500 0.370
# ΔE_f (raw)   -0.83 eV per atom
# VASP energy   -2.719 eV per atom
# ρ   4.6 g/cm³
# Total magnetic moment   0.0 μB/f.u.

---

No. 4
# BaNa3Pa4Se12 | Alexandria | PBE-GGA | optimized geometry
data_BaNa3Pa4Se12
_cell_length_a 10.664
_cell_length_b 10.664
_cell_length_c 10.664
_cell_angle_alpha 90.00
_cell_angle_beta 90.00
_cell_angle_gamma 90.00
_space_group_name_H-M_alt 'I m -3'
_space_group_IT_number 204
_space_group_name_Hall '-I 2 2 3'
loop_
_atom_site_label
_atom_site_type_symbol
_atom_site_fract_x
_atom_site_fract_y
_atom_site_fract_z
Ba1 Ba 0.000 0.000 0.000
Na1 Na 0.000 0.000 0.500
Pa1 Pa 0.250 0.250 0.250
Se1 Se 0.000 0.187 0.292
# ΔE_f (raw)   -1.38 eV per atom
# VASP energy   -5.662 eV per atom
# ρ   5.7 g/cm³
# Total magnetic moment   1.3 μB/f.u.